This record from the Alexandria database describes a relaxed structure of AlAsOs. The functional is PBE.

Lattice parameters (Å, degrees): 3.0628 3.0628 5.8341 90.00 90.00 120.00
Fractional coordinates of all 3 atoms:
Al 0.0000 0.0000 0.0000
As 0.6667 0.3333 0.3683
Os 0.3333 0.6667 0.6766

Formation enthalpy at 0 K, eV/atom: -0.023
Relative energy among the computed polymorphs, eV/atom: 0.000
Fermi-level density of states, states/eV per cell: 1.41
Mass density, g/cm³: 10.2
Volume, Å³/cell: 47.4

This record from the Alexandria database describes a relaxed structure of Na3SrPa4O12. The functional is PBE.

Lattice parameters (Å, degrees): 7.3745 7.3745 7.3745 109.47 109.47 109.47
Fractional coordinates of all 20 atoms:
Na 0.0000 0.5000 0.5000
Na 0.5000 0.0000 0.5000
Na 0.5000 0.5000 0.0000
Sr 0.0000 0.0000 0.0000
Pa 0.0000 0.0000 0.5000
Pa 0.0000 0.5000 0.0000
Pa 0.5000 0.0000 0.0000
Pa 0.5000 0.5000 0.5000
O 0.0956 0.2864 0.8092
O 0.1908 0.4772 0.2864
O 0.1908 0.9044 0.7136
O 0.2864 0.1908 0.4772
O 0.2864 0.8092 0.0956
O 0.4772 0.2864 0.1908
O 0.5228 0.7136 0.8092
O 0.7136 0.1908 0.9044
O 0.7136 0.8092 0.5228
O 0.8092 0.0956 0.2864
O 0.8092 0.5228 0.7136
O 0.9044 0.7136 0.1908

ΔE_f (raw), meV per atom: -3138
Fermi-level density of states, states/eV per cell: 7.98
Mass density, g/cm³: 6.8
Volume, Å³/cell: 308.7

This record from the Alexandria database describes a relaxed structure of LiPu2P3Pt4. The functional is PBE.

Lattice parameters (Å, degrees): 4.1432 4.1432 9.9976 90.00 90.00 90.00
Fractional coordinates of all 10 atoms:
Li 0.0000 0.0000 0.0000
Pu 0.0000 0.5000 0.7497
Pu 0.5000 0.0000 0.2503
P 0.0000 0.5000 0.3612
P 0.5000 0.0000 0.6388
P 0.5000 0.5000 0.0000
Pt 0.0000 0.0000 0.5000
Pt 0.0000 0.5000 0.1265
Pt 0.5000 0.0000 0.8735
Pt 0.5000 0.5000 0.5000

Formation enthalpy at 0 K, eV/atom: -0.791
Fermi-level density of states, states/eV per cell: 28.50
Mass density, g/cm³: 13.2
Volume, Å³/cell: 171.6

This record from the Alexandria database describes a relaxed structure of Ba3PuC2N6. The functional is PBE.

Lattice parameters (Å, degrees): 5.7849 5.7849 6.9564 90.00 90.00 120.00
Fractional coordinates of all 12 atoms:
Ba 0.0000 0.0000 0.0000
Ba 0.3333 0.6667 0.6918
Ba 0.6667 0.3333 0.3082
Pu 0.0000 0.0000 0.5000
C 0.3333 0.6667 0.2910
C 0.6667 0.3333 0.7090
N 0.1949 0.3898 0.2998
N 0.1949 0.8051 0.2998
N 0.3898 0.1949 0.7002
N 0.6102 0.8051 0.2998
N 0.8051 0.1949 0.7002
N 0.8051 0.6102 0.7002

ΔE_f (raw), meV per atom: -603
Fermi-level density of states, states/eV per cell: 6.55
Mass density, g/cm³: 6.3
Volume, Å³/cell: 201.6

Question: Look up the Fermi-level density of states of the fourth one.
Answer: 6.55 states/eV per cell